A plane-wave DFT calculation with PBE-GGA was carried out for a relaxed CoNi5Rh4 crystal.

```
CoNi5Rh4
1.0
6.6530 -1.8467 0.0000
6.6530 1.8467 0.0000
-1.0971 0.0000 5.0603
Co Ni Rh
1 5 4
Cartesian
0.0000 0.0000 0.0000
-0.5485 0.0000 2.5301
1.9976 0.0000 3.0371
5.1315 0.0000 1.0202
7.0775 0.0000 4.0400
10.2114 0.0000 2.0231
2.5359 0.0000 0.5067
4.6010 0.0000 3.5188
7.6080 0.0000 1.5415
9.6730 0.0000 4.5536
```

ρ	10.20	g cm⁻³
energy	-64.99	eV/cell
space-group type	C2/m, No. 12



A plane-wave DFT calculation with PBE-GGA was carried out for a relaxed Co2Ni3Rh crystal.

```
Co2Ni3Rh
1.0
7.7449 -1.2891 0.0000
7.7449 1.2891 0.0000
-4.3614 0.0000 6.9846
Co Ni Rh
4 6 2
Cartesian
0.0925 0.0000 1.3345
1.4340 0.0000 4.5062
9.6943 0.0000 2.4784
11.0358 0.0000 5.6500
-2.0992 0.0000 4.7148
3.6406 0.0000 1.1203
3.7738 0.0000 3.6079
7.3545 0.0000 3.3767
7.4877 0.0000 5.8642
13.2275 0.0000 2.2698
5.9845 0.0000 0.0894
5.1437 0.0000 6.8951
```

offset from the most stable computed form	0.0	meV/atom
ρ	9.45	g cm⁻³
energy	-77.50	eV/cell
space-group type	C2/m, No. 12



> Which value of energy does entry 2 give?

-77.50 eV/cell



What did the first record say?
A plane-wave DFT calculation with PBE-GGA was carried out for a relaxed CoNi5Rh4 crystal.

```
CoNi5Rh4
1.0
6.6530 -1.8467 0.0000
6.6530 1.8467 0.0000
-1.0971 0.0000 5.0603
Co Ni Rh
1 5 4
Cartesian
0.0000 0.0000 0.0000
-0.5485 0.0000 2.5301
1.9976 0.0000 3.0371
5.1315 0.0000 1.0202
7.0775 0.0000 4.0400
10.2114 0.0000 2.0231
2.5359 0.0000 0.5067
4.6010 0.0000 3.5188
7.6080 0.0000 1.5415
9.6730 0.0000 4.5536
```

ρ	10.20	g cm⁻³
energy	-64.99	eV/cell
space-group type	C2/m, No. 12



> Among the records above, which one has the highest energy?

CoNi5Rh4



Please write out number 2 again, unchanged.
A plane-wave DFT calculation with PBE-GGA was carried out for a relaxed Co2Ni3Rh crystal.

```
Co2Ni3Rh
1.0
7.7449 -1.2891 0.0000
7.7449 1.2891 0.0000
-4.3614 0.0000 6.9846
Co Ni Rh
4 6 2
Cartesian
0.0925 0.0000 1.3345
1.4340 0.0000 4.5062
9.6943 0.0000 2.4784
11.0358 0.0000 5.6500
-2.0992 0.0000 4.7148
3.6406 0.0000 1.1203
3.7738 0.0000 3.6079
7.3545 0.0000 3.3767
7.4877 0.0000 5.8642
13.2275 0.0000 2.2698
5.9845 0.0000 0.0894
5.1437 0.0000 6.8951
```

offset from the most stable computed form	0.0	meV/atom
ρ	9.45	g cm⁻³
energy	-77.50	eV/cell
space-group type	C2/m, No. 12